Record 1
Compound: PmScVN3
Source: the Alexandria database
Functional: PBE
Structure: relaxed

Computed properties:
Formation energy (no corrections) in eV per atom: -1.27

abc: 7.025 3.321 7.463
angles: 90.00 100.51 90.00
Element x y z (fractional)
Pm  0.183  0.250  0.190
Pm  0.817  0.750  0.810
Sc  0.364  0.750  0.858
Sc  0.636  0.250  0.142
V  0.102  0.250  0.598
V  0.898  0.750  0.402
N  0.122  0.250  0.849
N  0.182  0.750  0.502
N  0.425  0.750  0.145
N  0.575  0.250  0.855
N  0.818  0.250  0.498
N  0.878  0.750  0.151


Record 2
Compound: Nd3Al4Ag4
Source: the Alexandria database
Functional: PBE
Structure: relaxed

Computed properties:
Formation energy from the elements in kJ per mole of atoms: -31.5
Energy relative to the lowest polymorph listed for this composition in eV per atom: 0.016

abc: 14.437 14.437 4.459
angles: 98.80 98.80 15.78
Element x y z (fractional)
Nd  0.000  0.000  0.000
Nd  0.148  0.148  0.648
Nd  0.852  0.852  0.352
Al  0.254  0.254  0.253
Al  0.403  0.403  0.903
Al  0.597  0.597  0.097
Al  0.746  0.746  0.747
Ag  0.309  0.309  0.808
Ag  0.450  0.450  0.450
Ag  0.550  0.550  0.550
Ag  0.691  0.691  0.192


Record 3
Compound: UNb2
Source: the Alexandria database
Functional: PBE
Structure: relaxed

Computed properties:
Formation energy from the elements in kJ per mole of atoms: 22.8

abc: 4.859 4.861 5.461
angles: 90.00 116.04 90.00
Element x y z (fractional)
U  0.000  0.000  0.000
U  0.500  0.500  0.000
Nb  0.160  0.500  0.319
Nb  0.340  0.000  0.681
Nb  0.660  0.000  0.319
Nb  0.840  0.500  0.681


Record 4
Compound: Dy2Al5Ru2Rh
Source: the Alexandria database
Functional: PBE
Structure: relaxed

Computed properties:
Formation energy from the elements in kJ per mole of atoms: -54.5

abc: 10.633 10.633 3.095
angles: 90.00 90.00 90.00
Element x y z (fractional)
Dy  0.187  0.313  0.000
Dy  0.313  0.813  0.000
Dy  0.687  0.187  0.000
Dy  0.813  0.687  0.000
Al  0.000  0.500  0.500
Al  0.050  0.808  0.500
Al  0.192  0.050  0.500
Al  0.308  0.550  0.500
Al  0.450  0.308  0.500
Al  0.500  0.000  0.500
Al  0.550  0.692  0.500
Al  0.692  0.450  0.500
Al  0.808  0.950  0.500
Al  0.950  0.192  0.500
Ru  0.129  0.629  0.000
Ru  0.371  0.129  0.000
Ru  0.629  0.871  0.000
Ru  0.871  0.371  0.000
Rh  0.000  0.000  0.000
Rh  0.500  0.500  0.000


Record 5
Compound: PuTc2Ge
Source: the Alexandria database
Functional: PBE
Structure: relaxed

Computed properties:
Formation energy from the elements in kJ per mole of atoms: 1.8
Energy relative to the lowest polymorph listed for this composition in eV per atom: 0.148

abc: 3.287 3.287 6.195
angles: 90.00 90.00 90.00
Element x y z (fractional)
Pu  0.000  0.000  0.000
Tc  0.500  0.500  0.270
Tc  0.500  0.500  0.730
Ge  0.000  0.000  0.500


Record 6
Compound: ZrPO
Source: the Alexandria database
Functional: PBE
Structure: relaxed

Computed properties:
Formation energy (no corrections) in eV per atom: -1.73

abc: 3.655 15.396 3.673
angles: 90.00 90.00 90.00
Element x y z (fractional)
Zr  0.000  0.171  0.250
Zr  0.000  0.829  0.750
Zr  0.500  0.329  0.750
Zr  0.500  0.671  0.250
P  0.000  0.451  0.750
P  0.000  0.549  0.250
P  0.500  0.049  0.250
P  0.500  0.951  0.750
O  0.000  0.236  0.750
O  0.000  0.764  0.250
O  0.500  0.264  0.250
O  0.500  0.736  0.750


Record 7
Compound: Ho2ErTi
Source: the Alexandria database
Functional: PBE
Structure: relaxed

Computed properties:
Formation energy from the elements in kJ per mole of atoms: 15.4
Energy relative to the lowest polymorph listed for this composition in eV per atom: 0.000

abc: 3.386 3.386 9.415
angles: 90.00 90.00 90.00
Element x y z (fractional)
Ho  0.000  0.000  0.221
Ho  0.000  0.000  0.779
Er  0.500  0.500  0.500
Ti  0.500  0.500  0.000


Record 8
Compound: InFeSn2Br
Source: the Alexandria database
Functional: PBE
Structure: relaxed

Computed properties:
Formation energy (no corrections) in eV per atom: -0.21

abc: 4.918 4.918 5.147
angles: 90.00 90.00 90.00
Element x y z (fractional)
In  0.000  0.000  0.000
Fe  0.000  0.000  0.500
Sn  0.000  0.500  0.500
Sn  0.500  0.000  0.500
Br  0.500  0.500  0.000


Record 9
Compound: Rb2MnAgI6
Source: the Alexandria database
Functional: PBE
Structure: relaxed

Computed properties:
Formation energy (no corrections) in eV per atom: -0.77
Energy relative to the lowest polymorph listed for this composition in eV per atom: 0.000

abc: 7.838 8.689 14.178
angles: 90.00 122.57 90.00
Element x y z (fractional)
Rb  0.216  0.084  0.252
Rb  0.216  0.416  0.752
Rb  0.784  0.584  0.248
Rb  0.784  0.916  0.748
Mn  0.500  0.000  0.000
Mn  0.500  0.500  0.500
Ag  0.000  0.000  0.500
Ag  0.000  0.500  0.000
I  0.189  0.173  0.971
I  0.189  0.327  0.471
I  0.262  0.681  0.976
I  0.262  0.819  0.476
I  0.332  0.514  0.277
I  0.332  0.986  0.777
I  0.668  0.014  0.223
I  0.668  0.486  0.723
I  0.738  0.181  0.524
I  0.738  0.319  0.024
I  0.811  0.673  0.529
I  0.811  0.827  0.029


Record 10
Compound: Mg2GaHg2
Source: the Alexandria database
Functional: PBE
Structure: relaxed

Computed properties:
Formation energy from the elements in kJ per mole of atoms: 4.4
Energy relative to the lowest polymorph listed for this composition in eV per atom: 0.161

abc: 4.297 4.297 13.177
angles: 90.00 90.00 90.00
Element x y z (fractional)
Mg  0.000  0.500  0.250
Mg  0.000  0.500  0.750
Mg  0.500  0.000  0.250
Mg  0.500  0.000  0.750
Ga  0.000  0.000  0.000
Ga  0.500  0.500  0.500
Hg  0.000  0.000  0.393
Hg  0.000  0.000  0.607
Hg  0.500  0.500  0.107
Hg  0.500  0.500  0.893


Record 11
Compound: Tc2MoRu2
Source: the Alexandria database
Functional: PBE
Structure: relaxed

Computed properties:
Formation energy from the elements in kJ per mole of atoms: 19.8
Energy relative to the lowest polymorph listed for this composition in eV per atom: 0.008

abc: 7.402 7.402 2.757
angles: 90.00 90.00 90.00
Element x y z (fractional)
Tc  0.171  0.329  0.000
Tc  0.329  0.829  0.000
Tc  0.671  0.171  0.000
Tc  0.829  0.671  0.000
Mo  0.000  0.000  0.500
Mo  0.500  0.500  0.500
Ru  0.125  0.625  0.500
Ru  0.375  0.125  0.500
Ru  0.625  0.875  0.500
Ru  0.875  0.375  0.500


Record 12
Compound: Na2LaSc2
Source: the Alexandria database
Functional: PBE
Structure: relaxed

Computed properties:
Formation energy from the elements in kJ per mole of atoms: 47.6
Energy relative to the lowest polymorph listed for this composition in eV per atom: 0.061

abc: 9.605 9.605 3.303
angles: 90.00 90.00 90.00
Element x y z (fractional)
Na  0.178  0.322  0.000
Na  0.322  0.822  0.000
Na  0.678  0.178  0.000
Na  0.822  0.678  0.000
La  0.000  0.000  0.500
La  0.500  0.500  0.500
Sc  0.117  0.617  0.500
Sc  0.383  0.117  0.500
Sc  0.617  0.883  0.500
Sc  0.883  0.383  0.500


| no. | total DFT energy (no corrections) (eV per atom) | magnetic moment (μB/atom) |
| --- | --- | --- |
| 1 | -8.802 | 0.00 |
| 2 | -4.024 | 0.00 |
| 3 | -10.240 | 0.29 |
| 4 | -5.946 | 0.00 |
| 5 | -9.901 | 0.83 |
| 6 | -8.030 | 0.00 |
| 7 | -5.244 | 0.00 |
| 8 | -4.382 | 0.00 |
| 9 | -3.096 | 0.40 |
| 10 | -1.318 | 0.00 |
| 11 | -9.817 | 0.00 |
| 12 | -3.552 | 0.31 |